(1)
This record from Alexandria via LeMat-Bulk describes an optimized crystal structure of CePmGdHo. The functional is PBE.

Summary:
Uncorrected energy in Ry/atom: -0.5265
D(E_F) in states/eV/atom: 2.41
E_form in eV per atom: 0.17
Symmetry: No. 216

Lattice parameters (Å, degrees): 5.704 5.704 5.704 60.00 60.00 60.00
Element x y z (fractional)
Ce 0.000 0.000 0.000
Pm 0.750 0.750 0.750
Gd 0.250 0.250 0.250
Ho 0.500 0.500 0.500

***

(2)
This record from Alexandria via LeMat-Bulk describes an optimized crystal structure of CePrGdHo. The functional is PBE.

Summary:
Uncorrected energy in Ry/atom: -0.5267
D(E_F) in states/eV/atom: 2.48
E_form in eV per atom: 0.18
Symmetry: No. 216

Lattice parameters (Å, degrees): 5.729 5.729 5.729 60.00 60.00 60.00
Element x y z (fractional)
Ce 0.000 0.000 0.000
Pr 0.750 0.750 0.750
Gd 0.250 0.250 0.250
Ho 0.500 0.500 0.500

***

(3)
This record from Alexandria via LeMat-Bulk describes an optimized crystal structure of CeGdHoSn. The functional is PBE.

Summary:
Uncorrected energy in Ry/atom: -0.5400
D(E_F) in states/eV/atom: 2.32
E_form in eV per atom: -0.20
Symmetry: No. 216

Lattice parameters (Å, degrees): 5.386 5.386 5.386 60.00 60.00 60.00
Element x y z (fractional)
Ce 0.000 0.000 0.000
Gd 0.750 0.750 0.750
Ho 0.250 0.250 0.250
Sn 0.500 0.500 0.500

***

(4)
This record from Alexandria via LeMat-Bulk describes an optimized crystal structure of TbCeGdHo. The functional is PBE.

Summary:
Uncorrected energy in Ry/atom: -0.5246
D(E_F) in states/eV/atom: 2.39
E_form in eV per atom: 0.17
Symmetry: No. 216

Lattice parameters (Å, degrees): 5.667 5.667 5.667 60.00 60.00 60.00
Element x y z (fractional)
Tb 0.000 0.000 0.000
Ce 0.750 0.750 0.750
Gd 0.500 0.500 0.500
Ho 0.250 0.250 0.250

***

(5)
This record from Alexandria via LeMat-Bulk describes an optimized crystal structure of CeGdHoTl. The functional is PBE.

Summary:
Uncorrected energy in Ry/atom: -0.4946
D(E_F) in states/eV/atom: 2.32
E_form in eV per atom: 0.01
Symmetry: No. 216

Lattice parameters (Å, degrees): 5.450 5.450 5.450 60.00 60.00 60.00
Element x y z (fractional)
Ce 0.000 0.000 0.000
Gd 0.250 0.250 0.250
Ho 0.750 0.750 0.750
Tl 0.500 0.500 0.500

***

(6)
This record from Alexandria via LeMat-Bulk describes an optimized crystal structure of CeGdHoTm. The functional is PBE.

Summary:
Uncorrected energy in Ry/atom: -0.5221
D(E_F) in states/eV/atom: 2.37
E_form in eV per atom: 0.16
Symmetry: No. 216

Lattice parameters (Å, degrees): 5.639 5.639 5.639 60.00 60.00 60.00
Element x y z (fractional)
Ce 0.000 0.000 0.000
Gd 0.750 0.750 0.750
Ho 0.250 0.250 0.250
Tm 0.500 0.500 0.500

***

(7)
This record from Alexandria via LeMat-Bulk describes an optimized crystal structure of CeGdIn2. The functional is PBE.

Summary:
Uncorrected energy in Ry/atom: -0.4989
D(E_F) in states/eV/atom: 2.14
E_form in eV per atom: -0.42
Symmetry: No. 123

Lattice parameters (Å, degrees): 4.921 4.921 4.591 90.00 90.00 90.00
Element x y z (fractional)
Ce 0.000 0.000 0.000
Gd 0.500 0.500 0.000
In 0.000 0.500 0.500
In 0.500 0.000 0.500

***

(8)
This record from Alexandria via LeMat-Bulk describes an optimized crystal structure of CeGdIn2. The functional is PBE.

Summary:
Uncorrected energy in Ry/atom: -0.4981
D(E_F) in states/eV/atom: 2.43
E_form in eV per atom: -0.40
Symmetry: No. 225

Lattice parameters (Å, degrees): 5.421 5.421 5.421 60.00 60.00 60.00
Element x y z (fractional)
Ce 0.000 0.000 0.000
Gd 0.500 0.500 0.500
In 0.250 0.250 0.250
In 0.750 0.750 0.750

***

(9)
This record from Alexandria via LeMat-Bulk describes an optimized crystal structure of CeGdIn2. The functional is PBE.

Summary:
Uncorrected energy in Ry/atom: -0.4645
D(E_F) in states/eV/atom: 1.96
E_form in eV per atom: 0.05
Symmetry: No. 166

Lattice parameters (Å, degrees): 12.159 12.159 12.159 15.93 15.93 15.93
Element x y z (fractional)
Ce 0.000 0.000 0.000
Gd 0.500 0.500 0.500
In 0.090 0.090 0.090
In 0.910 0.910 0.910

***

(10)
This record from Alexandria via LeMat-Bulk describes an optimized crystal structure of CeGdLuIn. The functional is PBE.

Summary:
Uncorrected energy in Ry/atom: -0.5058
D(E_F) in states/eV/atom: 1.70
E_form in eV per atom: -0.06
Symmetry: No. 216

Lattice parameters (Å, degrees): 5.374 5.374 5.374 60.00 60.00 60.00
Element x y z (fractional)
Ce 0.000 0.000 0.000
Gd 0.750 0.750 0.750
Lu 0.250 0.250 0.250
In 0.500 0.500 0.500

***

(11)
This record from Alexandria via LeMat-Bulk describes an optimized crystal structure of CeGdMnIn. The functional is PBE.

Summary:
Uncorrected energy in Ry/atom: -0.5896
D(E_F) in states/eV/atom: 1.91
E_form in eV per atom: -0.04
Symmetry: No. 216

Lattice parameters (Å, degrees): 5.261 5.261 5.261 60.00 60.00 60.00
Element x y z (fractional)
Ce 0.000 0.000 0.000
Gd 0.500 0.500 0.500
Mn 0.750 0.750 0.750
In 0.250 0.250 0.250

***

(12)
This record from Alexandria via LeMat-Bulk describes an optimized crystal structure of CeNdGdIn. The functional is PBE.

Summary:
Uncorrected energy in Ry/atom: -0.5145
D(E_F) in states/eV/atom: 2.30
E_form in eV per atom: -0.12
Symmetry: No. 216

Lattice parameters (Å, degrees): 5.541 5.541 5.541 60.00 60.00 60.00
Element x y z (fractional)
Ce 0.000 0.000 0.000
Nd 0.500 0.500 0.500
Gd 0.250 0.250 0.250
In 0.750 0.750 0.750

***

(13)
This record from Alexandria via LeMat-Bulk describes an optimized crystal structure of CeGdInOs. The functional is PBE.

Summary:
Uncorrected energy in Ry/atom: -0.6341
D(E_F) in states/eV/atom: 1.28
E_form in eV per atom: -0.13
Symmetry: No. 216

Lattice parameters (Å, degrees): 5.123 5.123 5.123 60.00 60.00 60.00
Element x y z (fractional)
Ce 0.000 0.000 0.000
Gd 0.500 0.500 0.500
In 0.750 0.750 0.750
Os 0.250 0.250 0.250

***

(14)
This record from Alexandria via LeMat-Bulk describes an optimized crystal structure of CeGdPaIn. The functional is PBE.

Summary:
Uncorrected energy in Ry/atom: -0.5857
D(E_F) in states/eV/atom: 2.35
E_form in eV per atom: 0.09
Symmetry: No. 216

Lattice parameters (Å, degrees): 5.361 5.361 5.361 60.00 60.00 60.00
Element x y z (fractional)
Ce 0.000 0.000 0.000
Gd 0.500 0.500 0.500
Pa 0.250 0.250 0.250
In 0.750 0.750 0.750

***

(15)
This record from Alexandria via LeMat-Bulk describes an optimized crystal structure of CeGdInPd. The functional is PBE.

Summary:
Uncorrected energy in Ry/atom: -0.5480
D(E_F) in states/eV/atom: 2.26
E_form in eV per atom: -0.47
Symmetry: No. 216

Lattice parameters (Å, degrees): 5.246 5.246 5.246 60.00 60.00 60.00
Element x y z (fractional)
Ce 0.000 0.000 0.000
Gd 0.500 0.500 0.500
In 0.250 0.250 0.250
Pd 0.750 0.750 0.750

***

(16)
This record from Alexandria via LeMat-Bulk describes an optimized crystal structure of CePmGdIn. The functional is PBE.

Summary:
Uncorrected energy in Ry/atom: -0.5120
D(E_F) in states/eV/atom: 1.77
E_form in eV per atom: -0.09
Symmetry: No. 216

Lattice parameters (Å, degrees): 5.466 5.466 5.466 60.00 60.00 60.00
Element x y z (fractional)
Ce 0.000 0.000 0.000
Pm 0.750 0.750 0.750
Gd 0.250 0.250 0.250
In 0.500 0.500 0.500

***

(17)
This record from Alexandria via LeMat-Bulk describes an optimized crystal structure of CePrGdIn. The functional is PBE.

Summary:
Uncorrected energy in Ry/atom: -0.5123
D(E_F) in states/eV/atom: 1.93
E_form in eV per atom: -0.09
Symmetry: No. 216

Lattice parameters (Å, degrees): 5.500 5.500 5.500 60.00 60.00 60.00
Element x y z (fractional)
Ce 0.000 0.000 0.000
Pr 0.750 0.750 0.750
Gd 0.250 0.250 0.250
In 0.500 0.500 0.500

***

(18)
This record from Alexandria via LeMat-Bulk describes an optimized crystal structure of CeGdPuIn. The functional is PBE.

Summary:
Uncorrected energy in Ry/atom: -0.6890
D(E_F) in states/eV/atom: 2.93
E_form in eV per atom: -0.10
Symmetry: No. 216

Lattice parameters (Å, degrees): 5.385 5.385 5.385 60.00 60.00 60.00
Element x y z (fractional)
Ce 0.000 0.000 0.000
Gd 0.500 0.500 0.500
Pu 0.750 0.750 0.750
In 0.250 0.250 0.250

***

(19)
This record from Alexandria via LeMat-Bulk describes an optimized crystal structure of CeGdInRh. The functional is PBE.

Summary:
Uncorrected energy in Ry/atom: -0.5844
D(E_F) in states/eV/atom: 1.90
E_form in eV per atom: -0.42
Symmetry: No. 216

Lattice parameters (Å, degrees): 5.177 5.177 5.177 60.00 60.00 60.00
Element x y z (fractional)
Ce 0.000 0.000 0.000
Gd 0.500 0.500 0.500
In 0.750 0.750 0.750
Rh 0.250 0.250 0.250

***

(20)
This record from Alexandria via LeMat-Bulk describes an optimized crystal structure of CeGdScIn. The functional is PBE.

Summary:
Uncorrected energy in Ry/atom: -0.5411
D(E_F) in states/eV/atom: 2.10
E_form in eV per atom: -0.09
Symmetry: No. 216

Lattice parameters (Å, degrees): 5.322 5.322 5.322 60.00 60.00 60.00
Element x y z (fractional)
Ce 0.000 0.000 0.000
Gd 0.750 0.750 0.750
Sc 0.250 0.250 0.250
In 0.500 0.500 0.500

***

(21)
This record from Alexandria via LeMat-Bulk describes an optimized crystal structure of CeGdInSn. The functional is PBE.

Summary:
Uncorrected energy in Ry/atom: -0.5279
D(E_F) in states/eV/atom: 2.32
E_form in eV per atom: -0.49
Symmetry: No. 216

Lattice parameters (Å, degrees): 5.415 5.415 5.415 60.00 60.00 60.00
Element x y z (fractional)
Ce 0.000 0.000 0.000
Gd 0.500 0.500 0.500
In 0.250 0.250 0.250
Sn 0.750 0.750 0.750

***

(22)
This record from Alexandria via LeMat-Bulk describes an optimized crystal structure of TbCeGdIn. The functional is PBE.

Summary:
Uncorrected energy in Ry/atom: -0.5094
D(E_F) in states/eV/atom: 1.57
E_form in eV per atom: -0.08
Symmetry: No. 216

Lattice parameters (Å, degrees): 5.421 5.421 5.421 60.00 60.00 60.00
Element x y z (fractional)
Tb 0.000 0.000 0.000
Ce 0.250 0.250 0.250
Gd 0.500 0.500 0.500
In 0.750 0.750 0.750

***

(23)
This record from Alexandria via LeMat-Bulk describes an optimized crystal structure of CeGdTiIn. The functional is PBE.

Summary:
Uncorrected energy in Ry/atom: -0.5655
D(E_F) in states/eV/atom: 1.45
E_form in eV per atom: -0.03
Symmetry: No. 216

Lattice parameters (Å, degrees): 5.314 5.314 5.314 60.00 60.00 60.00
Element x y z (fractional)
Ce 0.000 0.000 0.000
Gd 0.500 0.500 0.500
Ti 0.750 0.750 0.750
In 0.250 0.250 0.250

***

(24)
This record from Alexandria via LeMat-Bulk describes an optimized crystal structure of CeGdTmIn. The functional is PBE.

Summary:
Uncorrected energy in Ry/atom: -0.5055
D(E_F) in states/eV/atom: 1.62
E_form in eV per atom: -0.07
Symmetry: No. 216

Lattice parameters (Å, degrees): 5.386 5.386 5.386 60.00 60.00 60.00
Element x y z (fractional)
Ce 0.000 0.000 0.000
Gd 0.250 0.250 0.250
Tm 0.750 0.750 0.750
In 0.500 0.500 0.500

***

(25)
This record from Alexandria via LeMat-Bulk describes an optimized crystal structure of CeGd2Ir. The functional is PBE.

Summary:
Uncorrected energy in Ry/atom: -0.8014
D(E_F) in states/eV/atom: 1.34
E_form in eV per atom: -0.16
Symmetry: No. 225

Lattice parameters (Å, degrees): 5.088 5.088 5.088 60.00 60.00 60.00
Element x y z (fractional)
Ce 0.000 0.000 0.000
Gd 0.250 0.250 0.250
Gd 0.750 0.750 0.750
Ir 0.500 0.500 0.500

***

(26)
This record from Alexandria via LeMat-Bulk describes an optimized crystal structure of Ce2GdIr. The functional is PBE.

Summary:
Uncorrected energy in Ry/atom: -0.6612
D(E_F) in states/eV/atom: 2.33
E_form in eV per atom: -0.29
Symmetry: No. 123

Lattice parameters (Å, degrees): 3.687 3.687 7.701 90.00 90.00 90.00
Element x y z (fractional)
Ce 0.000 0.000 0.190
Ce 0.000 0.000 0.810
Gd 0.500 0.500 0.500
Ir 0.500 0.500 0.000

***

(27)
This record from Alexandria via LeMat-Bulk describes an optimized crystal structure of CeGd2Ir. The functional is PBE.

Summary:
Uncorrected energy in Ry/atom: -0.8125
D(E_F) in states/eV/atom: 1.86
E_form in eV per atom: -0.32
Symmetry: No. 123

Lattice parameters (Å, degrees): 3.506 3.506 8.703 90.00 90.00 90.00
Element x y z (fractional)
Ce 0.000 0.000 0.000
Gd 0.500 0.500 0.311
Gd 0.500 0.500 0.689
Ir 0.000 0.000 0.500

***

(28)
This record from Alexandria via LeMat-Bulk describes an optimized crystal structure of CeGdIr2. The functional is PBE.

Summary:
Uncorrected energy in Ry/atom: -0.7444
D(E_F) in states/eV/atom: 1.11
E_form in eV per atom: -0.69
Symmetry: No. 225

Lattice parameters (Å, degrees): 4.926 4.926 4.926 60.00 60.00 60.00
Element x y z (fractional)
Ce 0.000 0.000 0.000
Gd 0.500 0.500 0.500
Ir 0.250 0.250 0.250
Ir 0.750 0.750 0.750

***

(29)
This record from Alexandria via LeMat-Bulk describes an optimized crystal structure of CeGdIr2. The functional is PBE.

Summary:
Uncorrected energy in Ry/atom: -0.7455
D(E_F) in states/eV/atom: 0.70
E_form in eV per atom: -0.71
Symmetry: No. 123

Lattice parameters (Å, degrees): 3.475 3.475 7.001 90.00 90.00 90.00
Element x y z (fractional)
Ce 0.000 0.000 0.000
Gd 0.000 0.000 0.500
Ir 0.500 0.500 0.239
Ir 0.500 0.500 0.761

***

(30)
This record from Alexandria via LeMat-Bulk describes an optimized crystal structure of CeGd3Ir. The functional is PBE.

Summary:
Uncorrected energy in Ry/atom: -0.8525
D(E_F) in states/eV/atom: 2.29
E_form in eV per atom: -0.19
Symmetry: No. 221

Lattice parameters (Å, degrees): 5.495 5.495 5.495 90.00 90.00 90.00
Element x y z (fractional)
Ce 0.000 0.000 0.000
Gd 0.000 0.500 0.500
Gd 0.500 0.000 0.500
Gd 0.500 0.500 0.000
Ir 0.500 0.500 0.500

***

(31)
This record from Alexandria via LeMat-Bulk describes an optimized crystal structure of Ce2GdIr. The functional is PBE.

Summary:
Uncorrected energy in Ry/atom: -0.6472
D(E_F) in states/eV/atom: 3.10
E_form in eV per atom: -0.10
Symmetry: No. 166

Lattice parameters (Å, degrees): 10.168 10.168 10.168 21.49 21.49 21.49
Element x y z (fractional)
Ce 0.109 0.109 0.109
Ce 0.891 0.891 0.891
Gd 0.000 0.000 0.000
Ir 0.500 0.500 0.500